Here is a relaxed structure of Rb2TlCr from Alexandria via LeMat-Bulk. Energies are from PBE-GGA.

Output
Energy above the most stable polymorph in this dataset   0.48 eV/f.u.
Raw total energy   -11.1 eV per formula unit

abc: 8.9221 8.9221 8.9221
angles: 90.00 90.00 90.00
Space group Fm-3m (No. 225)
Asymmetric unit:
Rb1 0.2500 0.2500 0.2500 (multiplicity 8)
Tl1 0.0000 0.0000 0.0000 (multiplicity 4)
Cr1 0.0000 0.0000 0.5000 (multiplicity 4)



Here is a relaxed structure of YTmHf2N4 from Alexandria via LeMat-Bulk. Energies are from PBE-GGA.

Output
Energy relative to the elements, uncorrected   -1.762 eV/atom
Raw total energy   -78.2 eV per formula unit

abc: 4.6909 4.6909 9.3341
angles: 90.00 90.00 90.00
Space group I-4m2 (No. 119)
Asymmetric unit:
Y1 0.0000 0.0000 0.0000 (multiplicity 2)
Tm1 0.0000 0.5000 0.2500 (multiplicity 2)
Hf1 0.0000 0.0000 0.5000 (multiplicity 2)
Hf2 0.0000 0.5000 0.7500 (multiplicity 2)
N1 0.0000 0.0000 0.2597 (multiplicity 4)
N2 0.0000 0.5000 0.5075 (multiplicity 4)



Here is a relaxed structure of Ba2Tl5Hg4 from Alexandria via LeMat-Bulk. Energies are from PBE-GGA.

Output
Energy above the most stable polymorph in this dataset   0.42 eV/f.u.
Raw total energy   -19.1 eV per formula unit

abc: 6.5655 10.4328 21.8369
angles: 90.00 90.00 90.00
Space group Fmmm (No. 69)
Asymmetric unit:
Ba1 0.0000 0.0000 0.1093 (multiplicity 8)
Tl1 0.0000 0.0000 0.5000 (multiplicity 4)
Tl2 0.2500 0.2500 0.0000 (multiplicity 8)
Tl3 0.2500 0.2500 0.2500 (multiplicity 8)
Hg1 0.0000 0.1504 0.3641 (multiplicity 16)



Here is a relaxed structure of K2TlSi from Alexandria via LeMat-Bulk. Energies are from PBE-GGA.

Output
Energy above the most stable polymorph in this dataset   1.24 eV/f.u.
Energy relative to the elements, uncorrected   0.419 eV/atom
Raw total energy   -8.3 eV per formula unit

abc: 3.6001 3.6001 35.3012
angles: 90.00 90.00 120.00
Space group R-3m (No. 166, hexagonal axes)
Asymmetric unit:
K1 0.0000 0.0000 0.2427 (multiplicity 6)
Tl1 0.0000 0.0000 0.0000 (multiplicity 3)
Si1 0.0000 0.0000 0.5000 (multiplicity 3)



Here is a relaxed structure of NaF2 from Alexandria via LeMat-Bulk. Energies are from PBE-GGA.

Output
Energy above the most stable polymorph in this dataset   0.10 eV/f.u.
Energy relative to the elements, uncorrected   -1.790 eV/atom
Raw total energy   -10.4 eV per formula unit

abc: 3.1184 3.1184 4.0375
angles: 90.00 90.00 90.00
Space group P4/mmm (No. 123)
Asymmetric unit:
Na1 0.0000 0.0000 0.0000 (multiplicity 1)
F1 0.5000 0.5000 0.2510 (multiplicity 2)



Here is a relaxed structure of LiRhC from Alexandria via LeMat-Bulk. Energies are from PBE-GGA.

Output
Raw total energy   -18.0 eV per formula unit

abc: 3.5451 4.2935 4.7154
angles: 93.70 98.27 107.92
Space group P1 (No. 1)
Asymmetric unit:
Li1 0.0000 0.0000 0.0000 (multiplicity 1)
Li2 0.1258 0.0136 0.5235 (multiplicity 1)
Rh1 0.3173 0.5736 0.8219 (multiplicity 1)
Rh2 0.7173 0.3810 0.3002 (multiplicity 1)
C1 0.3283 0.6265 0.4056 (multiplicity 1)
C2 0.5288 0.8560 0.2341 (multiplicity 1)



Across the entries above, magnetic moment takes the values 17.1 0.0 0.0 0.6 0.0 0.0 Bohr magnetons per cell, respectively.